Density functional theory data (PBE+U) for an optimized crystal structure of NiTe4O12.

Structure (POSCAR):
```
NiTe4O12
1.0
5.1321 0.0000 0.0000
0.0492 5.5764 0.0000
0.0252 0.6973 7.5951
Ni Te O
1 4 12
direct
0.0000 0.0000 0.0000 Ni
0.0090 0.3929 0.6948 Te
0.0221 0.4035 0.2206 Te
0.4992 0.8802 0.6976 Te
0.5114 0.8761 0.2138 Te
0.1199 0.3446 0.9325 O
0.1836 0.0282 0.2401 O
0.2016 0.6895 0.6274 O
0.3040 0.1797 0.6215 O
0.3626 0.5601 0.2664 O
0.3626 0.8613 0.9431 O
0.6379 0.8949 0.4549 O
0.6936 0.1585 0.1274 O
0.7031 0.5843 0.7681 O
0.8084 0.0702 0.7630 O
0.8229 0.7089 0.1295 O
0.8719 0.4017 0.4619 O
```

## Properties
N(E_F) = 0.007 states/eV/f.u.
Magnetization = 0.12 μB per atom
Total DFT energy (no corrections) = -5.2322 eV per atom